A relaxed CdSb5 crystal. Source: Alexandria via LeMat-Bulk, functional PBE.

Computed properties:
- uncorrected formation energy (eV per atom) = 0.31
- DOS at the Fermi energy (states/eV per cell) = 2.49

a = 6.205 Å, b = 6.205 Å, c = 5.534 Å
α = 90.00°, β = 90.00°, γ = 120.00°
Atoms (fractional coordinates):
Sb 0.667 0.333 0.000
Sb 0.500 0.000 0.500
Sb 0.333 0.667 0.000
Sb 0.000 0.500 0.500
Sb 0.500 0.500 0.500
Cd 0.000 0.000 0.000